DFT (PBE) results for LaHF after structural relaxation.

Unit cell a=4.1311 b=4.1311 c=3.8361 alpha=90.00 beta=90.00 gamma=120.00
Closest atoms and distances in Å follow each position.
Fractional positions:
La 0.0000 0.0000 0.0000  3 F 2.44, 3 H 2.47
H 0.6667 0.3333 0.1703  3 La 2.47, 3 F 2.65
F 0.3333 0.6667 0.8708  3 La 2.44, 3 H 2.65

Values from the calculation:
N(E_F) = 0.613 states/eV per atom
Space group = No. 156

DFT (PBE) results for LaHF4 after structural relaxation.

Unit cell a=6.3241 b=6.3241 c=6.3241 alpha=108.74 beta=108.74 gamma=110.94
Closest atoms and distances in Å follow each position.
Fractional positions:
La 0.0000 0.0000 0.0000  4 F 2.29-2.31
La 0.7500 0.2500 0.5000  4 F 2.29-2.31
H 0.1195 0.6195 0.5000  2 F 1.16
H 0.3695 0.3695 0.0000  2 F 1.16
F 0.0863 0.4318 0.3456  1 H 1.16
F 0.0863 0.7407 0.6544  1 H 1.16
F 0.1819 0.3363 0.8456  1 H 1.16
F 0.3033 0.9922 0.3111  2 La 2.29-2.31
F 0.4907 0.3363 0.1544  1 H 1.16
F 0.6812 0.9922 0.6889  2 La 2.29-2.31
F 0.7422 0.5533 0.8111  2 La 2.29-2.31
F 0.7422 0.9312 0.1889  2 La 2.29-2.31

Values from the calculation:
N(E_F) = 0.000 states/eV per atom
Space group = No. 109

DFT (PBE) results for La2HF after structural relaxation.

Unit cell a=8.0632 b=8.0632 c=8.0632 alpha=27.18 beta=27.18 gamma=27.18
Closest atoms and distances in Å follow each position.
Fractional positions:
La 0.1003 0.1003 0.1003  1 F 2.34
La 0.8997 0.8997 0.8997  1 F 2.34
H 0.5000 0.5000 0.5000  6 La 2.68
F 0.0000 0.0000 0.0000  2 La 2.34

Values from the calculation:
N(E_F) = 0.360 states/eV per atom
Space group = No. 166

DFT (PBE) results for LaH2F6 after structural relaxation.

Unit cell a=6.5235 b=6.5235 c=6.6266 alpha=111.39 beta=111.39 gamma=85.04
Closest atoms and distances in Å follow each position.
Fractional positions:
La 0.1441 0.8559 0.7500  10 F 2.40-2.56
La 0.8559 0.1441 0.2500  10 F 2.40-2.56
H 0.1310 0.4102 0.8300  1 F 1.01
H 0.4102 0.1310 0.3300  1 F 1.01
H 0.5898 0.8690 0.6700  1 F 1.01
H 0.8690 0.5898 0.1700  1 F 1.01
F 0.0589 0.1916 0.6726  1 H 1.42
F 0.1444 0.4668 0.4794  1 F 1.99
F 0.1842 0.5666 0.9355  1 H 1.01
F 0.1916 0.0589 0.1726  1 H 1.42
F 0.4334 0.8158 0.5645  1 H 1.01
F 0.4668 0.1444 0.9794  1 F 1.99
F 0.5332 0.8556 0.0206  1 F 1.99
F 0.5666 0.1842 0.4355  1 H 1.01
F 0.8084 0.9411 0.8274  1 H 1.42
F 0.8158 0.4334 0.0645  1 H 1.01
F 0.8556 0.5332 0.5206  1 F 1.99
F 0.9411 0.8084 0.3274  1 H 1.42

Values from the calculation:
Space group = No. 15

Calculated total DFT energy (no corrections), -5.246, -5.846, -5.099, -5.058 eV/atom (same order as the records).